The following is a DFT calculation (GGA-PBE) of a relaxed structure of CaPm5Pb5.

Cell and atoms, written as extended XYZ:
```
11
Lattice="8.0932 -3.2090 0.0000 8.0932 3.2090 0.0000 -1.7272 0.0000 7.3295" Properties=species:S:1:pos:R:3 pbc="T T T"
Ca 0.0000 0.0000 0.0000
Pm -0.8636 0.0000 3.6647
Pm 5.1257 0.0000 1.2205
Pm 4.3144 0.0000 4.8795
Pm 10.1448 0.0000 2.4500
Pm 9.3335 0.0000 6.1090
Pb 2.1005 0.0000 2.4822
Pb 1.2897 0.0000 6.0744
Pb 8.0932 0.0000 0.0000
Pb 13.1696 0.0000 1.2551
Pb 12.3587 0.0000 4.8473
```

Output
E_tot: -47.53 eV per formula unit